P:
V2TcNi2 | PBE-GGA | relaxed

abc: 6.501 6.501 3.090
angles: 90.00 90.00 90.00
Space group P4/mbm (No. 127)
Inequivalent atoms, fractional coordinates:
V 0.157 0.343 0.000 [4 per cell]
Tc 0.000 0.000 0.000 [2 per cell]
Ni 0.138 0.638 0.500 [4 per cell]

Properties
Its density of states at the Fermi level is 9.42 states/eV per cell. For the total magnetic moment, the calculation gives 0.01 μB/f.u. The value obtained for the density is 8.07 Mg/m³.

***

Q:
V2TcNi2 | PBE-GGA | relaxed

abc: 7.051 7.051 2.545
angles: 90.00 90.00 90.00
Space group P4/mbm (No. 127)
Inequivalent atoms, fractional coordinates:
V 0.175 0.325 0.000 [4 per cell]
Tc 0.000 0.000 0.500 [2 per cell]
Ni 0.122 0.622 0.500 [4 per cell]

Properties
Its density of states at the Fermi level is 9.62 states/eV per cell. For the total magnetic moment, the calculation gives 0.00 μB/f.u. The value obtained for the density is 8.33 Mg/m³.

***

Structures ranked by computed energy, the most stable listed first: Q, P.

***

P:
VTcNi6 | PBE-GGA | relaxed

abc: 4.838 8.218 4.803
angles: 90.00 91.65 90.00
Space group C2/m (No. 12)
Inequivalent atoms, fractional coordinates:
V 0.000 0.000 0.000 [2 per cell]
Tc 0.000 0.000 0.500 [2 per cell]
Ni 0.051 0.500 0.751 [4 per cell]
Ni 0.187 0.257 0.248 [8 per cell]

Properties
Its density of states at the Fermi level is 24.95 states/eV per cell. For the total magnetic moment, the calculation gives 1.80 μB/f.u. The value obtained for the density is 8.72 Mg/m³.

***

Q:
VTcNi6 | PBE-GGA | relaxed

abc: 6.5390 6.5390 8.6350
angles: 90.00 90.00 120.00
Space group R-3m (No. 166, hexagonal axes)
Inequivalent atoms, fractional coordinates:
V 0.0000 0.0000 0.0000 [3 per cell]
Tc 0.0000 0.0000 0.5000 [3 per cell]
Ni 0.0873 0.5437 0.8778 [18 per cell]

Properties
Its density of states at the Fermi level is 23.79 states/eV per cell. For the total magnetic moment, the calculation gives 0.00 μB/f.u. The value obtained for the density is 7.81 Mg/m³.

***

Structures ranked by computed energy, the most stable listed first: P, Q.

***

P:
TcNiW2 | PBE-GGA | relaxed

abc: 3.208 4.327 8.401
angles: 90.00 90.00 90.00
Space group Cmmm (No. 65)
Inequivalent atoms, fractional coordinates:
Tc 0.000 0.000 0.000 [2 per cell]
Ni 0.000 0.000 0.500 [2 per cell]
W 0.000 0.500 0.262 [4 per cell]

Properties
Its density of states at the Fermi level is 7.17 states/eV per cell. For the total magnetic moment, the calculation gives 0.00 μB/f.u. The value obtained for the density is 14.93 Mg/m³.

***

Q:
TcNiW2 | PBE-GGA | relaxed

abc: 6.164 6.164 6.164
angles: 90.00 90.00 90.00
Space group Fm-3m (No. 225)
Inequivalent atoms, fractional coordinates:
Tc 0.000 0.000 0.000 [4 per cell]
Ni 0.000 0.000 0.500 [4 per cell]
W 0.250 0.250 0.250 [8 per cell]

Properties
Its density of states at the Fermi level is 19.34 states/eV per cell. For the total magnetic moment, the calculation gives 0.00 μB/f.u. The value obtained for the density is 14.87 Mg/m³.

***

Structures ranked by computed energy, the most stable listed first: P, Q.

***

P:
TcNiW2 | PBE-GGA | relaxed

abc: 3.254 4.278 8.450
angles: 90.00 90.00 90.00
Space group Imm2 (No. 44)
Inequivalent atoms, fractional coordinates:
Tc 0.000 0.000 0.000 [2 per cell]
Ni 0.000 0.500 0.763 [2 per cell]
W 0.000 0.000 0.511 [2 per cell]
W 0.000 0.500 0.255 [2 per cell]

Properties
Its density of states at the Fermi level is 9.32 states/eV per cell. For the total magnetic moment, the calculation gives 0.00 μB/f.u. The value obtained for the density is 14.80 Mg/m³.

***

Q:
TcNiW2 | PBE-GGA | relaxed

abc: 2.660 4.373 5.141
angles: 90.00 99.55 90.00
Space group Pm (No. 6)
Inequivalent atoms, fractional coordinates:
Tc 0.000 0.000 0.000 [1 per cell]
Ni 0.395 0.500 0.758 [1 per cell]
W 0.489 0.000 0.515 [1 per cell]
W 0.761 0.500 0.255 [1 per cell]

Properties
Its density of states at the Fermi level is 3.73 states/eV per cell. For the total magnetic moment, the calculation gives 0.00 μB/f.u. The value obtained for the density is 14.77 Mg/m³.

***

R:
TcNiW2 | PBE-GGA | relaxed

abc: 8.989 2.788 4.743
angles: 90.00 100.14 90.00
Space group Cm (No. 8)
Inequivalent atoms, fractional coordinates:
Tc 0.000 0.000 0.000 [2 per cell]
Ni 0.240 0.500 0.258 [2 per cell]
W 0.243 0.000 0.760 [2 per cell]
W 0.482 0.000 0.474 [2 per cell]

Properties
Its density of states at the Fermi level is 6.39 states/eV per cell. For the total magnetic moment, the calculation gives 0.00 μB/f.u. The value obtained for the density is 14.89 Mg/m³.

***

Structures ranked by computed energy, the most stable listed first: Q, R, P.

***

P:
TcNiW2 | PBE-GGA | relaxed

abc: 2.7590 2.7590 26.7934
angles: 90.00 90.00 120.00
Space group R-3m (No. 166, hexagonal axes)
Inequivalent atoms, fractional coordinates:
Tc 0.0000 0.0000 0.0000 [3 per cell]
Ni 0.0000 0.0000 0.5000 [3 per cell]
W 0.0000 0.0000 0.2475 [6 per cell]

Properties
Its density of states at the Fermi level is 16.39 states/eV per cell. For the total magnetic moment, the calculation gives 0.00 μB/f.u. The value obtained for the density is 14.79 Mg/m³.

***

Q:
TcNiW2 | PBE-GGA | relaxed

abc: 3.903 3.903 7.655
angles: 90.00 90.00 90.00
Space group I-4m2 (No. 119)
Inequivalent atoms, fractional coordinates:
Tc 0.000 0.000 0.000 [2 per cell]
Ni 0.000 0.500 0.250 [2 per cell]
W 0.000 0.000 0.500 [2 per cell]
W 0.000 0.500 0.750 [2 per cell]

Properties
Its density of states at the Fermi level is 8.91 states/eV per cell. For the total magnetic moment, the calculation gives 0.00 μB/f.u. The value obtained for the density is 14.94 Mg/m³.

***

R:
TcNiW2 | PBE-GGA | relaxed

abc: 3.226 3.226 5.588
angles: 90.00 90.00 90.00
Space group P4/mmm (No. 123)
Inequivalent atoms, fractional coordinates:
Tc 0.000 0.000 0.000 [1 per cell]
Ni 0.000 0.000 0.500 [1 per cell]
W 0.500 0.500 0.267 [2 per cell]

Properties
Its density of states at the Fermi level is 2.72 states/eV per cell. For the total magnetic moment, the calculation gives 0.00 μB/f.u. The value obtained for the density is 14.98 Mg/m³.

***

Structures ranked by computed energy, the most stable listed first: R, Q, P.

***

P:
TcNiW2 | PBE-GGA | relaxed

abc: 2.743 2.743 7.727
angles: 90.00 90.00 90.00
Space group P4/mmm (No. 123)
Inequivalent atoms, fractional coordinates:
Tc 0.000 0.000 0.000 [1 per cell]
Ni 0.000 0.000 0.500 [1 per cell]
W 0.500 0.500 0.260 [2 per cell]

Properties
Its density of states at the Fermi level is 4.44 states/eV per cell. For the total magnetic moment, the calculation gives 0.00 μB/f.u. The value obtained for the density is 14.98 Mg/m³.

***

Q:
TcNiW2 | PBE-GGA | relaxed

abc: 2.657 4.340 5.171
angles: 90.00 99.62 90.00
Space group P2/m (No. 10)
Inequivalent atoms, fractional coordinates:
Tc 0.000 0.000 0.000 [1 per cell]
Ni 0.500 0.000 0.500 [1 per cell]
W 0.241 0.500 0.745 [2 per cell]

Properties
Its density of states at the Fermi level is 3.32 states/eV per cell. For the total magnetic moment, the calculation gives 0.00 μB/f.u. The value obtained for the density is 14.81 Mg/m³.

***

Structures ranked by computed energy, the most stable listed first: Q, P.